Record 1
# SrLiCuAs2, relaxed, DFT PBE-GGA
data_SrLiCuAs2
_chemical_formula_sum 'Sr2 Li2 Cu2 As4'
_symmetry_space_group_name_H-M 'I -4 m 2'
_symmetry_Int_Tables_number 119
_symmetry_space_group_name_Hall 'I -4 -2'
_cell_length_a 4.304
_cell_length_b 4.304
_cell_length_c 10.632
_cell_angle_alpha 90.00
_cell_angle_beta 90.00
_cell_angle_gamma 90.00
loop_
_atom_site_label
_atom_site_type_symbol
_atom_site_fract_x
_atom_site_fract_y
_atom_site_fract_z
_atom_site_occupancy
Sr1 Sr 0.000 0.000 0.000 1
Li1 Li 0.000 0.500 0.750 1
Cu1 Cu 0.000 0.500 0.250 1
As1 As 0.000 0.000 0.376 1
# **Formation energy from the elements**: -0.700 eV per atom


Record 2
# Se3ClF, relaxed, DFT PBE-GGA
data_Se3ClF
_chemical_formula_sum 'Se3 Cl1 F1'
_symmetry_space_group_name_H-M 'P m -3 m'
_symmetry_Int_Tables_number 221
_symmetry_space_group_name_Hall '-P 4 2 3'
_cell_length_a 4.986
_cell_length_b 4.986
_cell_length_c 4.986
_cell_angle_alpha 90.00
_cell_angle_beta 90.00
_cell_angle_gamma 90.00
loop_
_atom_site_label
_atom_site_type_symbol
_atom_site_fract_x
_atom_site_fract_y
_atom_site_fract_z
_atom_site_occupancy
Se1 Se 0.000 0.000 0.500 1
Cl1 Cl 0.000 0.000 0.000 1
F1 F 0.500 0.500 0.500 1
# **Distance to the lowest polymorph of the same formula**: 223 meV/atom
# **ΔE_f (raw)**: 902 meV/atom


Record 3
# NdDy7Ho3, relaxed, DFT PBE-GGA
data_NdDy7Ho3
_chemical_formula_sum 'Nd1 Dy7 Ho3'
_symmetry_space_group_name_H-M 'P 3 m 1'
_symmetry_Int_Tables_number 156
_symmetry_space_group_name_Hall 'P 3 -2"'
_cell_length_a 7.0490
_cell_length_b 7.0490
_cell_length_c 8.5823
_cell_angle_alpha 90.00
_cell_angle_beta 90.00
_cell_angle_gamma 120.00
loop_
_atom_site_label
_atom_site_type_symbol
_atom_site_fract_x
_atom_site_fract_y
_atom_site_fract_z
_atom_site_occupancy
Nd1 Nd 0.0000 0.0000 0.0000 1
Dy1 Dy 0.0025 0.5013 0.9955 1
Dy2 Dy 0.3311 0.1655 0.3301 1
Dy3 Dy 0.3333 0.6667 0.3256 1
Ho1 Ho 0.1672 0.3344 0.6611 1
# **Formation energy from the elements**: 0.195 eV per atom
# **Distance to the lowest polymorph of the same formula**: 52 meV/atom


Record 4
# SrMg5Au2, relaxed, DFT PBE-GGA
data_SrMg5Au2
_chemical_formula_sum 'Sr2 Mg10 Au4'
_symmetry_space_group_name_H-M 'I m m m'
_symmetry_Int_Tables_number 71
_symmetry_space_group_name_Hall '-I 2 2'
_cell_length_a 4.390
_cell_length_b 8.277
_cell_length_c 10.602
_cell_angle_alpha 90.00
_cell_angle_beta 90.00
_cell_angle_gamma 90.00
loop_
_atom_site_label
_atom_site_type_symbol
_atom_site_fract_x
_atom_site_fract_y
_atom_site_fract_z
_atom_site_occupancy
Sr1 Sr 0.000 0.000 0.000 1
Mg1 Mg 0.000 0.186 0.341 1
Mg2 Mg 0.000 0.500 0.000 1
Au1 Au 0.000 0.500 0.256 1
# **Formation energy from the elements**: -0.451 eV per atom


Record 5
# KTaIn2, relaxed, DFT PBE-GGA
data_KTaIn2
_chemical_formula_sum 'K1 Ta1 In2'
_symmetry_space_group_name_H-M 'P m m m'
_symmetry_Int_Tables_number 47
_symmetry_space_group_name_Hall '-P 2 2'
_cell_length_a 3.038
_cell_length_b 4.332
_cell_length_c 7.910
_cell_angle_alpha 90.00
_cell_angle_beta 90.00
_cell_angle_gamma 90.00
loop_
_atom_site_label
_atom_site_type_symbol
_atom_site_fract_x
_atom_site_fract_y
_atom_site_fract_z
_atom_site_occupancy
K1 K 0.000 0.000 0.000 1
Ta1 Ta 0.000 0.000 0.500 1
In1 In 0.500 0.500 0.311 1
# **Formation energy from the elements**: 0.283 eV per atom
# **Distance to the lowest polymorph of the same formula**: 47 meV/atom


Record 6
# LiThAl2, relaxed, DFT PBE-GGA
data_LiThAl2
_chemical_formula_sum 'Li1 Th1 Al2'
_symmetry_space_group_name_H-M 'P 4/m m m'
_symmetry_Int_Tables_number 123
_symmetry_space_group_name_Hall '-P 4 2'
_cell_length_a 3.365
_cell_length_b 3.365
_cell_length_c 7.344
_cell_angle_alpha 90.00
_cell_angle_beta 90.00
_cell_angle_gamma 90.00
loop_
_atom_site_label
_atom_site_type_symbol
_atom_site_fract_x
_atom_site_fract_y
_atom_site_fract_z
_atom_site_occupancy
Li1 Li 0.000 0.000 0.000 1
Th1 Th 0.000 0.000 0.500 1
Al1 Al 0.500 0.500 0.194 1
# **Formation energy from the elements**: -0.193 eV per atom


Record 7
# CsYAl2, relaxed, DFT PBE-GGA
data_CsYAl2
_chemical_formula_sum 'Cs4 Y4 Al8'
_symmetry_space_group_name_H-M 'F m -3 m'
_symmetry_Int_Tables_number 225
_symmetry_space_group_name_Hall '-F 4 2 3'
_cell_length_a 7.891
_cell_length_b 7.891
_cell_length_c 7.891
_cell_angle_alpha 90.00
_cell_angle_beta 90.00
_cell_angle_gamma 90.00
loop_
_atom_site_label
_atom_site_type_symbol
_atom_site_fract_x
_atom_site_fract_y
_atom_site_fract_z
_atom_site_occupancy
Cs1 Cs 0.000 0.000 0.000 1
Y1 Y 0.000 0.000 0.500 1
Al1 Al 0.250 0.250 0.250 1
# **Formation energy from the elements**: 0.484 eV per atom


Record 8
# MgCNO2, relaxed, DFT PBE-GGA
data_MgCNO2
_chemical_formula_sum 'Mg1 C1 N1 O2'
_symmetry_space_group_name_H-M 'P 4/m m m'
_symmetry_Int_Tables_number 123
_symmetry_space_group_name_Hall '-P 4 2'
_cell_length_a 3.860
_cell_length_b 3.860
_cell_length_c 4.288
_cell_angle_alpha 90.00
_cell_angle_beta 90.00
_cell_angle_gamma 90.00
loop_
_atom_site_label
_atom_site_type_symbol
_atom_site_fract_x
_atom_site_fract_y
_atom_site_fract_z
_atom_site_occupancy
Mg1 Mg 0.000 0.000 0.000 1
C1 C 0.500 0.500 0.500 1
N1 N 0.000 0.000 0.500 1
O1 O 0.000 0.500 0.000 1
# **ΔE_f (raw)**: 1714 meV/atom


Record 9
# CrCdPb4, relaxed, DFT PBE-GGA
data_CrCdPb4
_chemical_formula_sum 'Cr4 Cd4 Pb16'
_symmetry_space_group_name_H-M 'F -4 3 m'
_symmetry_Int_Tables_number 216
_symmetry_space_group_name_Hall 'F -4 2 3'
_cell_length_a 9.080
_cell_length_b 9.080
_cell_length_c 9.080
_cell_angle_alpha 90.00
_cell_angle_beta 90.00
_cell_angle_gamma 90.00
loop_
_atom_site_label
_atom_site_type_symbol
_atom_site_fract_x
_atom_site_fract_y
_atom_site_fract_z
_atom_site_occupancy
Cr1 Cr 0.000 0.000 0.000 1
Cd1 Cd 0.250 0.250 0.250 1
Pb1 Pb 0.125 0.125 0.625 1
# **Formation energy from the elements**: 0.522 eV per atom


For each record above, in turn, the calculated calculated total energy values are -0.3012, -0.1420, -0.3245, -0.1820, -0.3178, -0.3232, -0.2364, -0.3012, -0.2724 Ry/atom.